PBE CaSmCdIr, optimized geometry; total magnetization = 0.00 μB/f.u.; total DFT energy (no corrections) = -4.49 eV/atom; DFT formation energy = -361 meV per atom; space group = F-43m, No. 216
1.0
7.2157 0.0000 0.0000
0.0000 7.2157 0.0000
0.0000 0.0000 7.2157
Ca Sm Cd Ir
4 4 4 4
direct
0.0000 0.0000 0.0000
0.0000 0.5000 0.5000
0.5000 0.0000 0.5000
0.5000 0.5000 0.0000
0.0000 0.0000 0.5000
0.0000 0.5000 0.0000
0.5000 0.0000 0.0000
0.5000 0.5000 0.5000
0.2500 0.2500 0.7500
0.2500 0.7500 0.2500
0.7500 0.2500 0.2500
0.7500 0.7500 0.7500
0.2500 0.2500 0.2500
0.2500 0.7500 0.7500
0.7500 0.2500 0.7500
0.7500 0.7500 0.2500

=====

PBE CaCdSnIr, optimized geometry; total magnetization = 0.00 μB/f.u.; total DFT energy (no corrections) = -4.18 eV/atom; DFT formation energy = -237 meV per atom; space group = F-43m, No. 216
1.0
6.8767 0.0000 0.0000
0.0000 6.8767 0.0000
0.0000 0.0000 6.8767
Ca Cd Sn Ir
4 4 4 4
direct
0.0000 0.0000 0.0000
0.0000 0.5000 0.5000
0.5000 0.0000 0.5000
0.5000 0.5000 0.0000
0.2500 0.2500 0.7500
0.2500 0.7500 0.2500
0.7500 0.2500 0.2500
0.7500 0.7500 0.7500
0.2500 0.2500 0.2500
0.2500 0.7500 0.7500
0.7500 0.2500 0.7500
0.7500 0.7500 0.2500
0.0000 0.0000 0.5000
0.0000 0.5000 0.0000
0.5000 0.0000 0.0000
0.5000 0.5000 0.5000

=====

PBE SrCaCdIr, optimized geometry; total magnetization = 0.00 μB/f.u.; total DFT energy (no corrections) = -3.51 eV/atom; DFT formation energy = -146 meV per atom; space group = F-43m, No. 216
1.0
7.3898 0.0000 0.0000
0.0000 7.3898 0.0000
0.0000 0.0000 7.3898
Sr Ca Cd Ir
4 4 4 4
direct
0.0000 0.0000 0.0000
0.0000 0.5000 0.5000
0.5000 0.0000 0.5000
0.5000 0.5000 0.0000
0.0000 0.0000 0.5000
0.0000 0.5000 0.0000
0.5000 0.0000 0.0000
0.5000 0.5000 0.5000
0.2500 0.2500 0.7500
0.2500 0.7500 0.2500
0.7500 0.2500 0.2500
0.7500 0.7500 0.7500
0.2500 0.2500 0.2500
0.2500 0.7500 0.7500
0.7500 0.2500 0.7500
0.7500 0.7500 0.2500